Record 1
Li2Mo, optimized geometry, DFT PBE; ΔE_f = 1.00 eV per atom; density of states at the Fermi level = 0.837 states/eV/atom; relative energy among the computed polymorphs = 685 meV per atom
1.0
2.1584 -3.7385 0.0000
2.1584 3.7385 0.0000
0.0000 0.0000 5.1781
Li Mo
4 2
Cartesian
0.0000 0.0000 2.5890
2.1584 -1.2462 3.8836
2.1584 1.2462 1.2945
0.0000 0.0000 0.0000
2.1584 1.2462 3.8836
2.1584 -1.2462 1.2945

Record 2
LiMo, optimized geometry, DFT PBE; ΔE_f = 0.38 eV per atom; density of states at the Fermi level = 0.573 states/eV/atom; relative energy among the computed polymorphs = 176 meV per atom
1.0
5.8315 0.0039 0.0000
-5.2913 2.4513 0.0000
0.0000 0.0000 4.3446
Li Mo
2 2
Cartesian
-4.6955 2.3202 1.0861
5.2357 0.1350 3.2584
2.4507 0.7478 3.2584
-1.9104 1.7074 1.0861

Record 3
LiMo, optimized geometry, DFT PBE; ΔE_f = 0.38 eV per atom; density of states at the Fermi level = 0.931 states/eV/atom; relative energy among the computed polymorphs = 183 meV per atom
1.0
-0.8336 -1.5253 -1.8712
2.2322 0.9289 -0.8231
2.3267 -3.7797 2.0444
Mo Li
1 1
Cartesian
1.8626 -2.1881 -0.3249
0.0000 0.0000 0.0000

Record 4
LiMo, optimized geometry, DFT PBE; ΔE_f = 0.50 eV per atom; density of states at the Fermi level = 0.932 states/eV/atom; relative energy among the computed polymorphs = 297 meV per atom
1.0
-5.1159 -4.6893 -6.5998
8.5620 -3.3446 2.6882
-1.1022 -1.3588 1.8198
Li Mo
6 6
Cartesian
1.3589 -2.2934 1.7371
0.1952 -2.4820 -0.8595
6.0206 -5.2317 2.3664
2.1487 -6.9108 -1.2323
0.9850 -7.0994 -3.8289
-3.6767 -4.1610 -4.4582
4.0678 -6.0324 0.5858
3.6652 -3.7853 2.0198
0.5487 -4.7747 -2.3573
1.7952 -4.6181 0.2655
-1.7239 -3.3603 -2.6777
-1.3213 -5.6074 -4.1116

Record 5
Li2Mo, optimized geometry, DFT PBE; ΔE_f = 0.35 eV per atom; density of states at the Fermi level = 0.292 states/eV/atom; relative energy among the computed polymorphs = 29 meV per atom
1.0
1.2876 5.6165 -0.0106
-1.2876 5.6165 -0.0106
0.0000 1.3929 6.7138
Mo Li
2 4
Cartesian
0.0000 6.0977 1.0694
0.0000 6.5281 5.6233
0.0000 2.0450 3.2175
0.0000 10.5809 3.4752
0.0000 9.1144 0.9829
0.0000 3.5115 5.7097

Record 6
Li2Mo, optimized geometry, DFT PBE; ΔE_f = 0.57 eV per atom; density of states at the Fermi level = 0.917 states/eV/atom; relative energy among the computed polymorphs = 258 meV per atom
1.0
4.6308 0.0000 0.0000
-2.3154 4.0104 0.0000
0.0000 0.0000 2.4558
Li Mo
2 1
Cartesian
0.0000 2.6736 1.2301
2.3154 1.3368 1.2257
0.0000 0.0000 0.0000

Record 7
Li5Mo, optimized geometry, DFT PBE; ΔE_f = 0.50 eV per atom; density of states at the Fermi level = 0.446 states/eV/atom; relative energy among the computed polymorphs = 300 meV per atom
1.0
-5.7807 3.6898 1.0770
3.0062 -6.2557 0.1423
1.0774 0.6023 3.7195
Li Mo
5 1
Cartesian
0.5488 -2.5634 2.3208
-4.3575 2.0789 0.9256
0.5387 0.3012 1.8598
1.5830 -4.6449 0.2937
-2.2459 0.5998 2.6180
-1.3873 -1.2830 0.6096

Record 8
LiMo, optimized geometry, DFT PBE; ΔE_f = 0.44 eV per atom; density of states at the Fermi level = 0.543 states/eV/atom; relative energy among the computed polymorphs = 238 meV per atom
1.0
-6.2101 -11.4664 -4.2705
-0.3710 -0.7103 2.4466
-4.1863 2.2594 0.0211
Mo Li
6 6
Cartesian
-3.2386 -5.9889 -1.2545
-4.6257 -8.5647 -0.6316
-7.1537 -8.2155 -3.3170
-3.2846 -1.0716 -0.6564
-2.2846 -4.2422 0.9783
-2.3306 0.6751 1.5765
-5.5395 -10.2414 -2.3906
-4.5089 -3.3428 -0.3677
-6.2399 -6.5388 -1.5581
-1.0603 -1.9710 0.6896
-0.0311 -0.0596 0.2053
-5.5381 -5.2542 0.1166

Record 9
LiMo2, optimized geometry, DFT PBE; ΔE_f = 0.45 eV per atom; density of states at the Fermi level = 1.101 states/eV/atom; relative energy among the computed polymorphs = 150 meV per atom
1.0
7.2294 -0.0088 0.0000
6.3026 3.5416 0.0000
-6.7660 -1.7664 1.8347
Li Mo
1 2
Cartesian
6.7660 1.7664 0.0000
2.2466 0.5865 0.0000
11.2854 2.9462 0.0000

Record 10
LiMo2, optimized geometry, DFT PBE; ΔE_f = 0.49 eV per atom; density of states at the Fermi level = 0.492 states/eV/atom; relative energy among the computed polymorphs = 186 meV per atom
1.0
1.8633 3.7107 1.2951
-2.9490 0.0474 -3.1968
-3.8042 0.6819 3.5194
Mo Li
4 2
Cartesian
-4.1980 1.7799 0.9400
0.0000 0.0000 0.0000
-0.6918 2.6601 0.6776
-1.9021 0.3410 1.7597
-2.5940 3.0010 2.4373
-2.2959 1.4390 -0.8197

Record 11
LiMo, optimized geometry, DFT PBE; ΔE_f = 2.23 eV per atom; density of states at the Fermi level = 1.478 states/eV/atom; relative energy among the computed polymorphs = 2030 meV per atom
1.0
-1.4810 3.4667 -1.6376
1.5368 -2.9313 -2.4371
-4.2542 -1.9670 -0.3167
Mo Li
2 2
Cartesian
-1.5386 0.8423 -1.9833
-2.6598 -2.2739 -2.4082
-0.5327 -1.2904 -2.2498
-3.6657 -0.1412 -2.1417

Record 12
Li2Mo, optimized geometry, DFT PBE; ΔE_f = 0.70 eV per atom; density of states at the Fermi level = 0.769 states/eV/atom; relative energy among the computed polymorphs = 381 meV per atom
1.0
4.4204 -2.1463 2.6804
-0.6726 4.7232 -2.9275
-3.2738 1.1568 4.3903
Mo Li
2 4
Cartesian
0.9370 0.6442 -0.0618
2.8109 1.9327 -0.1853
0.7192 3.1244 1.5091
2.8972 0.0077 2.0403
-2.4232 3.7260 2.1029
-0.2452 0.6093 2.6341

Record 13
LiMo, optimized geometry, DFT PBE; ΔE_f = 0.79 eV per atom; density of states at the Fermi level = 0.556 states/eV/atom; relative energy among the computed polymorphs = 589 meV per atom
1.0
-5.2039 2.8849 2.7853
-4.3924 -5.7471 -2.2540
1.7681 -4.4580 7.9210
Mo Li
16 16
Cartesian
0.1946 -3.1310 3.6067
-6.3050 -3.4026 -0.5076
-7.4446 -4.1632 2.0249
-4.6035 -4.5621 3.8723
-3.2247 -2.7581 4.5799
-3.9586 -7.8346 4.5928
-2.5798 -6.0306 5.3003
-2.9855 -1.7146 7.8200
-1.2676 -0.9280 2.4668
-1.5068 -1.9715 -0.7732
-4.3644 -3.5186 7.1124
-2.8856 -3.7756 -1.4808
-6.0658 -2.3591 2.7325
-2.8190 -7.0740 2.0603
-2.6465 -2.7321 1.7593
-3.2914 0.5404 1.0388
-6.6466 -5.0603 6.7542
-0.2976 -4.4889 5.6586
-3.3779 -5.1334 0.5710
-4.4285 2.4550 2.3702
-5.3344 0.0423 3.9207
-4.0228 -1.8609 -0.1494
-2.4933 -0.3567 5.7681
-0.7754 0.4299 0.4150
-3.7836 -0.8174 3.0907
-5.0958 -5.9200 5.9242
-5.5736 -1.0012 0.6806
-4.9287 -4.2737 1.4011
-5.7407 -2.6475 5.2037
-0.9425 -1.2164 4.9381
-2.0876 -4.6727 3.2485
-1.8484 -3.6292 6.4886

Record 14
LiMo, optimized geometry, DFT PBE; ΔE_f = 1.64 eV per atom; density of states at the Fermi level = 1.220 states/eV/atom; relative energy among the computed polymorphs = 1441 meV per atom
1.0
-3.1671 6.7678 -4.6983
1.2539 -4.5789 -7.4410
-8.1428 -3.3374 0.6816
Li Mo
8 8
Cartesian
-2.0435 -0.2334 -2.3284
-2.4748 -2.2019 -6.4247
-3.1791 1.0659 -9.5339
-8.7567 1.8028 -4.7126
-7.0715 -0.8076 -8.0573
-6.2939 -1.6973 -3.1235
-4.2716 2.4098 -5.3100
-6.1326 -4.9323 -6.3406
-4.4240 -0.0384 -6.9720
-9.0809 -1.0371 -10.3468
0.0357 -3.8023 -7.1090
-7.5388 -2.8015 -0.5615
-4.0530 -0.4629 -4.6180
-5.3888 -1.9980 -5.9287
-3.5279 5.3440 -4.8982
-6.2461 0.2023 -5.3969

Record 15
LiMo2, optimized geometry, DFT PBE; ΔE_f = 0.65 eV per atom; density of states at the Fermi level = 1.190 states/eV/atom; relative energy among the computed polymorphs = 348 meV per atom
1.0
5.3403 0.0000 0.0000
-2.6701 4.6248 0.0000
0.0000 0.0000 8.2998
Mo Li
8 4
Cartesian
1.3747 0.7937 2.0749
0.0000 0.0000 4.1499
2.6701 3.0374 2.0749
1.2954 3.8311 6.2248
0.0000 0.0000 0.0000
-1.2954 3.8311 6.2248
0.0000 1.5874 6.2248
3.9656 0.7937 2.0749
2.6701 1.5416 7.7417
0.0000 3.0832 0.5581
0.0000 3.0832 3.5918
2.6701 1.5416 4.7079

Record 16
Li2Mo, optimized geometry, DFT PBE; ΔE_f = 0.33 eV per atom; density of states at the Fermi level = 1.082 states/eV/atom; relative energy among the computed polymorphs = 16 meV per atom
1.0
-1.4176 -2.0525 -1.0639
2.0356 1.1133 -1.4039
4.8408 -4.9478 3.0952
Li Mo
2 1
Cartesian
3.0087 -4.3449 0.9169
2.4501 -1.5421 -0.2896
0.0000 0.0000 0.0000

Record 17
LiMo, optimized geometry, DFT PBE; ΔE_f = 0.52 eV per atom; density of states at the Fermi level = 0.803 states/eV/atom; relative energy among the computed polymorphs = 319 meV per atom
1.0
4.9130 0.0215 0.0271
1.6530 4.6266 -0.0271
-2.6469 -3.2226 2.5976
Li Mo
2 2
Cartesian
2.3243 2.1723 0.6426
1.5948 -0.7468 1.9550
0.0398 1.6089 1.9279
3.8793 -0.1834 0.6697

Record 18
Li2Mo2N, optimized geometry, DFT PBE; density of states at the Fermi level = 1.040 states/eV/atom; energy relative to the elements, uncorrected = 1260 meV/atom; relative energy among the computed polymorphs = 490 meV per atom
1.0
-1.8357 2.5889 1.2855
-1.3798 0.5533 -3.0846
-6.7687 -2.8415 0.6174
Mo Li N
2 2 1
Cartesian
-5.1060 0.6593 0.5017
-4.8781 -0.3585 -1.6834
-7.6034 -0.6094 -0.5094
-2.3808 0.9102 -0.6723
0.0000 0.0000 0.0000

Record 19
Li3MoN, optimized geometry, DFT PBE; density of states at the Fermi level = 0.553 states/eV/atom; energy relative to the elements, uncorrected = 2107 meV/atom; relative energy among the computed polymorphs = 1325 meV per atom
1.0
5.1225 0.0000 0.0000
0.0000 5.1225 0.0000
0.0000 0.0000 5.1225
N Mo Li
1 1 3
Cartesian
2.5613 2.5613 2.5613
0.0000 0.0000 0.0000
0.0000 2.5613 0.0000
0.0000 0.0000 2.5613
2.5613 0.0000 0.0000

Record 20
Li5Mo3N12, optimized geometry, DFT PBE; density of states at the Fermi level = 0.541 states/eV/atom; energy relative to the elements, uncorrected = 113 meV/atom
1.0
-2.1969 -6.0596 8.6157
9.6970 -2.6258 -3.8534
-0.0498 10.3857 2.8125
N Li Mo
48 20 12
Cartesian
8.3534 -1.0062 -2.1436
5.7298 -0.1120 6.5225
5.8919 4.2051 3.1337
-1.1199 1.4589 9.1680
1.1316 0.2033 3.3322
3.2172 6.0055 2.5259
5.0348 3.6989 2.1767
0.6504 6.7035 3.5543
6.1880 -2.4187 0.1554
0.3550 7.9788 3.9935
1.7205 1.8123 1.0524
1.1175 -4.2367 7.1771
0.1585 -1.2596 7.4520
3.6902 -4.9250 6.1570
5.9363 -3.4272 1.0643
7.4810 6.0545 1.1556
6.3186 1.4970 4.2427
0.8516 3.3232 4.2631
2.4154 -1.9986 5.3981
-0.6344 -1.2745 6.3217
1.2815 1.3649 6.6793
5.6699 -1.4899 6.4558
7.0953 -6.2785 3.5813
7.2917 2.9599 0.1228
1.5583 -2.5048 4.4412
6.5987 -1.6229 3.3118
3.2819 -1.8139 1.5221
3.3125 -1.1664 0.3030
4.2331 -4.3052 5.0490
5.0498 0.9483 1.4236
4.1683 3.5142 6.0527
1.7803 3.1902 1.1191
2.1916 3.0714 4.0453
8.0847 2.9748 1.2531
6.3328 5.9370 0.3978
-0.9031 2.7065 9.7184
1.2623 4.1190 7.4195
-0.0308 -4.3542 6.4193
5.2586 -1.3711 3.5296
6.1688 0.3354 0.8955
4.1377 2.8667 7.2719
-0.0515 0.3249 4.0336
7.5018 1.3754 3.5412
1.5140 5.1275 6.5106
2.4004 0.7520 6.1512
3.7601 6.6253 1.4179
6.7999 -5.0032 4.0206
8.5702 0.2414 -1.5932
7.0994 -3.4884 2.7162
3.7251 0.8501 3.7874
0.0000 0.0000 0.0000
1.5942 -1.6306 2.6191
0.3509 5.1887 4.8586
4.1010 0.8460 7.2398
4.8236 3.8799 -0.5204
-0.4792 4.2146 8.4411
4.3943 -2.2912 5.1081
3.7501 -4.3427 2.3812
-1.1234 2.1631 5.7141
5.8561 3.3309 4.9557
3.3493 0.8543 0.3351
7.9294 -2.5143 -0.8662
0.4708 0.5325 8.3332
4.8485 -1.3129 -1.9267
3.0560 3.9915 2.4667
-1.0985 -3.0298 4.3079
-0.0249 5.1929 1.4063
6.9795 1.1678 -0.7584
5.2243 -1.3171 1.5257
0.6442 2.0515 2.7270
6.8061 -0.3512 4.8479
6.4178 2.2494 2.0987
2.1060 7.6736 2.5746
1.9825 -4.2312 5.3683
2.2259 3.0174 6.0492
1.0325 -0.5491 5.4762
5.4678 5.9315 2.2065
-0.7226 -3.0340 7.7602
5.3442 -5.9733 5.0003
8.1729 4.7342 -0.1854

Record 21
LiMo2N3, optimized geometry, DFT PBE; density of states at the Fermi level = 0.354 states/eV/atom; energy relative to the elements, uncorrected = -412 meV/atom
1.0
-1.1140 -1.9294 1.8943
2.8272 -3.7402 -2.1469
4.6764 3.1855 5.9945
Mo Li N
4 2 6
Cartesian
4.2150 -1.8306 1.7428
3.2505 -3.6252 -0.6522
2.1746 -0.6535 3.9992
3.1391 1.1411 6.3942
5.2168 0.2288 4.4296
1.1727 -2.7129 1.3124
2.3685 -0.6103 1.8999
0.3794 -1.3073 0.0203
3.0168 -3.6185 1.4745
3.3727 1.1344 4.2675
4.0211 -1.8738 3.8421
6.0102 -1.1768 5.7217